# 1
An optimized crystal structure of Sc3In3NiRh2. Source: Alexandria via LeMat-Bulk, functional PBE.

DFT formation energy, eV/atom: -0.633
Crystal system: hexagonal
V, Å³/atom: 18.6
DOS at the Fermi energy, states/eV per cell: 6.26
Energy, eV/atom: -5.9328
Total moment, μB per formula unit: 0.0

Cell: 7.6615 7.6615 3.3011 Å, 90.00 90.00 120.00°
Fractional coordinates of all 9 atoms:
1 Sc 0.0000 0.4003 0.0000
2 Sc 0.4003 0.0000 0.0000
3 Sc 0.5997 0.5997 0.0000
4 In 0.0000 0.7344 0.5000
5 In 0.2656 0.2656 0.5000
6 In 0.7344 0.0000 0.5000
7 Ni 0.0000 0.0000 0.0000
8 Rh 0.3333 0.6667 0.5000
9 Rh 0.6667 0.3333 0.5000

---

# 2
An optimized crystal structure of InNiSnRh. Source: Alexandria via LeMat-Bulk, functional PBE.

DFT formation energy, eV/atom: -0.202
Crystal system: cubic
V, Å³/atom: 16.8
DOS at the Fermi energy, states/eV per cell: 2.62
Energy, eV/atom: -5.1708
Total moment, μB per formula unit: 0.0

Cell: 4.5608 4.5608 4.5608 Å, 60.00 60.00 60.00°
Fractional coordinates of all 4 atoms:
1 In 0.0000 0.0000 0.0000
2 Ni 0.7500 0.7500 0.7500
3 Sn 0.5000 0.5000 0.5000
4 Rh 0.2500 0.2500 0.2500

---

# 3
An optimized crystal structure of Tb2InNi2Rh5. Source: Alexandria via LeMat-Bulk, functional PBE.

DFT formation energy, eV/atom: -0.511
Crystal system: tetragonal
V, Å³/atom: 16.7
DOS at the Fermi energy, states/eV per cell: 17.36
Energy, eV/atom: -6.5424
Total moment, μB per formula unit: 0.0

Cell: 9.2605 9.2605 3.8953 Å, 90.00 90.00 90.00°
Fractional coordinates of all 20 atoms:
1 Tb 0.1744 0.3256 0.0000
2 Tb 0.3256 0.8256 0.0000
3 Tb 0.6744 0.1744 0.0000
4 Tb 0.8256 0.6744 0.0000
5 In 0.0000 0.0000 0.0000
6 In 0.5000 0.5000 0.0000
7 Ni 0.1216 0.6216 0.0000
8 Ni 0.3784 0.1216 0.0000
9 Ni 0.6216 0.8784 0.0000
10 Ni 0.8784 0.3784 0.0000
11 Rh 0.0000 0.5000 0.5000
12 Rh 0.0697 0.7885 0.5000
13 Rh 0.2115 0.0697 0.5000
14 Rh 0.2885 0.5697 0.5000
15 Rh 0.4303 0.2885 0.5000
16 Rh 0.5000 0.0000 0.5000
17 Rh 0.5697 0.7115 0.5000
18 Rh 0.7115 0.4303 0.5000
19 Rh 0.7885 0.9303 0.5000
20 Rh 0.9303 0.2115 0.5000